(1)
Compound: MnPBr
Source: Alexandria
Functional: PBE
Structure: relaxed

Output
The calculation puts the energy relative to the lowest polymorph listed for this composition at 563 meV/atom.

CIF file:
```
data_MnPBr
_cell_length_a 6.266
_cell_length_b 6.266
_cell_length_c 6.266
_cell_angle_alpha 90.00
_cell_angle_beta 90.00
_cell_angle_gamma 90.00
_symmetry_space_group_name_H-M 'F -4 3 m'
_symmetry_Int_Tables_number 216
_symmetry_space_group_name_Hall 'F -4 2 3'
loop_
_atom_site_label
_atom_site_type_symbol
_atom_site_fract_x
_atom_site_fract_y
_atom_site_fract_z
Mn1 Mn 0.000 0.000 0.000
P1 P 0.250 0.250 0.750
Br1 Br 0.250 0.250 0.250
```



(2)
Compound: SiSeCl
Source: Alexandria
Functional: PBE
Structure: relaxed

Output
The calculation puts the energy relative to the lowest polymorph listed for this composition at 26 meV/atom.

CIF file:
```
data_SiSeCl
_cell_length_a 6.283
_cell_length_b 6.883
_cell_length_c 6.917
_cell_angle_alpha 65.52
_cell_angle_beta 89.48
_cell_angle_gamma 68.43
_symmetry_space_group_name_H-M 'P 1'
_symmetry_Int_Tables_number 1
_symmetry_space_group_name_Hall 'P 1'
loop_
_atom_site_label
_atom_site_type_symbol
_atom_site_fract_x
_atom_site_fract_y
_atom_site_fract_z
Si1 Si 0.000 0.000 0.000
Si2 Si 0.032 0.000 0.500
Se1 Se 0.259 0.998 0.239
Se2 Se 0.265 0.982 0.764
Cl1 Cl 0.727 0.296 0.387
Cl2 Cl 0.935 0.723 0.608
```



(3)
Compound: HfCl3O
Source: Alexandria
Functional: PBE
Structure: relaxed

Output
The electronic total energy comes out at -3.59 eV per atom.

CIF file:
```
data_HfCl3O
_cell_length_a 4.459
_cell_length_b 4.459
_cell_length_c 4.459
_cell_angle_alpha 90.00
_cell_angle_beta 90.00
_cell_angle_gamma 90.00
_symmetry_space_group_name_H-M 'P m -3 m'
_symmetry_Int_Tables_number 221
_symmetry_space_group_name_Hall '-P 4 2 3'
loop_
_atom_site_label
_atom_site_type_symbol
_atom_site_fract_x
_atom_site_fract_y
_atom_site_fract_z
Hf1 Hf 0.000 0.000 0.000
Cl1 Cl 0.000 0.500 0.500
O1 O 0.500 0.500 0.500
```



(4)
Compound: Nd4TcCl5
Source: Alexandria
Functional: PBE
Structure: relaxed

Output
The electronic total energy comes out at -5.39 eV per atom.

CIF file:
```
data_Nd4TcCl5
_cell_length_a 18.201
_cell_length_b 3.886
_cell_length_c 9.294
_cell_angle_alpha 90.00
_cell_angle_beta 107.77
_cell_angle_gamma 90.00
_symmetry_space_group_name_H-M 'C 1 2/m 1'
_symmetry_Int_Tables_number 12
_symmetry_space_group_name_Hall '-C 2y'
loop_
_atom_site_label
_atom_site_type_symbol
_atom_site_fract_x
_atom_site_fract_y
_atom_site_fract_z
Nd1 Nd 0.005 0.000 0.247
Nd2 Nd 0.150 0.500 0.085
Tc1 Tc 0.000 0.500 0.000
Cl1 Cl 0.000 0.500 0.500
Cl2 Cl 0.167 0.000 0.863
Cl3 Cl 0.171 0.000 0.323
```



(5)
Compound: PmHo2InC
Source: Alexandria
Functional: PBE
Structure: relaxed

Output
The electronic total energy comes out at -5.63 eV per atom.

CIF file:
```
data_PmHo2InC
_cell_length_a 4.906
_cell_length_b 4.906
_cell_length_c 5.084
_cell_angle_alpha 90.00
_cell_angle_beta 90.00
_cell_angle_gamma 90.00
_symmetry_space_group_name_H-M 'P 4/m m m'
_symmetry_Int_Tables_number 123
_symmetry_space_group_name_Hall '-P 4 2'
loop_
_atom_site_label
_atom_site_type_symbol
_atom_site_fract_x
_atom_site_fract_y
_atom_site_fract_z
Pm1 Pm 0.000 0.000 0.000
Ho1 Ho 0.000 0.500 0.500
In1 In 0.500 0.500 0.000
C1 C 0.000 0.000 0.500
```



(6)
Compound: SrAc2NbN4
Source: Alexandria
Functional: PBE
Structure: relaxed

Output
The electronic total energy comes out at -7.59 eV per atom.

CIF file:
```
data_SrAc2NbN4
_cell_length_a 3.672
_cell_length_b 12.850
_cell_length_c 13.359
_cell_angle_alpha 90.00
_cell_angle_beta 90.00
_cell_angle_gamma 90.00
_symmetry_space_group_name_H-M 'C m c m'
_symmetry_Int_Tables_number 63
_symmetry_space_group_name_Hall '-C 2c 2'
loop_
_atom_site_label
_atom_site_type_symbol
_atom_site_fract_x
_atom_site_fract_y
_atom_site_fract_z
Sr1 Sr 0.000 0.100 0.250
Ac1 Ac 0.000 0.368 0.035
Nb1 Nb 0.000 0.176 0.750
N1 N 0.000 0.000 0.000
N2 N 0.000 0.270 0.638
N3 N 0.000 0.404 0.250
```



no.,calculated volume (Å³/f.u.),magnetization (Bohr magnetons per cell)
1,61.5,12.310
2,124.8,0.000
3,88.6,0.001
4,313.0,0.000
5,122.4,0.000
6,157.6,0.000